Here is crystalline AgBiAs2 at its relaxed geometry from Alexandria. Energies are from GGA-PBEsol.

Properties
energy of formation from the pure elements	24.9	kJ/mol of atoms
uncorrected energy	-4.194	eV/atom

a b c (Å): 6.0610 6.0610 7.5048
angles (deg): 113.82 113.82 90.00
Element x y z (fractional)
As: 0.4086 0.8750 0.2500
As: 0.6250 0.5914 0.7500
Ag: 0.5000 0.5000 0.0000
As: 0.8414 0.3750 0.2500
As: 0.1250 0.1586 0.7500
Bi: 0.2500 0.7500 0.5000
Ag: 0.7500 0.2500 0.5000
Bi: 0.0000 0.0000 0.0000